DFT (PBE-GGA) results for an optimized crystal structure of Ce2ZrAu.

Properties
M_tot   0.00 μB per cell
Distance to the lowest polymorph of the same formula   245 meV per atom
Energy relative to the elements   51 meV per atom
Electronic total energy   -5.872 eV per atom

Unit cell a=3.0990 b=3.0990 c=11.5074 alpha=82.26 beta=82.26 gamma=60.00
Last column: nearest neighbours and their distance in Å.
Atoms (fractional coordinates):
Zr 0.0000 0.0000 0.0000  2 Ce 3.04, 6 Zr 3.10
Ce 0.0892 0.0892 0.7322  1 Zr 3.04, 6 Ce 3.10, 3 Au 3.19
Ce 0.9108 0.9108 0.2678  1 Zr 3.04, 6 Ce 3.10, 3 Au 3.19
Au 0.5000 0.5000 0.5000  6 Au 3.10, 6 Ce 3.19